(1)
A relaxed AgMoPt2 crystal. Source: Alexandria via LeMat-Bulk, functional PBE-GGA.

The excess energy over the best structure of this formula in the dataset is 99 meV per atom.

The structure belongs to space group R-3m (No. 166, hexagonal axes); the cell edges are 2.8126, 2.8126 and 28.0948 Å and the angles 90.00°, 90.00° and 120.00°. The inequivalent atoms are Ag at (0.0000, 0.0000, 0.0000), Mo at (0.0000, 0.0000, 0.5000) and Pt at (0.0000, 0.0000, 0.2460).

(2)
A relaxed Ag2MoPt crystal. Source: Alexandria via LeMat-Bulk, functional PBE-GGA.

The excess energy over the best structure of this formula in the dataset is 192 meV per atom.

The structure belongs to space group R-3m (No. 166, hexagonal axes); the cell edges are 2.8168, 2.8168 and 28.8159 Å and the angles 90.00°, 90.00° and 120.00°. The inequivalent atoms are Ag at (0.0000, 0.0000, 0.2503), Mo at (0.0000, 0.0000, 0.5000) and Pt at (0.0000, 0.0000, 0.0000).

| no. | total magnetic moment (Bohr magnetons per cell) |
| --- | --- |
| 1 | 0.00 |
| 2 | 0.04 |